Here is a relaxed PaInFeTc crystal from the Alexandria database. Energies are from PBE.

Summary:
Energy relative to the elements, eV/atom: -0.018

abc: 6.5860 6.5860 6.5860
angles: 90.00 90.00 90.00
Last column: nearest neighbours and their distance in Å.
Space group F-43m (No. 216)
Unique sites:
Pa (0.0000, 0.0000, 0.0000)  4 Fe 2.85, 4 Tc 2.85
In (0.0000, 0.0000, 0.5000)  4 Fe 2.85, 4 Tc 2.85
Fe (0.2500, 0.2500, 0.2500)  4 In 2.85, 4 Pa 2.85
Tc (0.2500, 0.2500, 0.7500)  4 In 2.85, 4 Pa 2.85